Entry 1:
Entry from Alexandria via LeMat-Bulk: a geometry-optimized Tl2VHgF6 structure (PBE with a Hubbard U).

## Properties
spin magnetization: 0.98 μB per formula unit

Cell lengths 5.927, 8.266, 9.375 Å; angles 90.00, 90.00, 90.00 degrees
Fractional positions:
F  0.276  0.982  0.500
F  0.732  0.295  0.500
F  0.000  0.863  0.204
F  0.768  0.705  0.000
F  0.000  0.863  0.796
F  0.500  0.137  0.296
F  0.500  0.137  0.704
F  0.232  0.705  0.000
F  0.776  0.018  0.000
F  0.724  0.982  0.500
F  0.224  0.018  0.000
F  0.268  0.295  0.500
Hg  0.000  0.639  0.500
Hg  0.500  0.361  0.000
Tl  0.500  0.803  0.756
Tl  0.500  0.803  0.244
Tl  0.000  0.197  0.256
Tl  0.000  0.197  0.744
V  0.500  0.142  0.500
V  0.000  0.858  0.000


Entry 2:
Entry from Alexandria via LeMat-Bulk: a geometry-optimized TlVHgF6 structure (PBE with a Hubbard U).

## Properties
spin magnetization: 0.04 μB per formula unit

Cell lengths 5.814, 6.135, 5.058 Å; angles 90.12, 90.27, 58.10 degrees
Fractional positions:
F  0.112  0.222  0.611
F  0.110  0.666  0.613
F  0.551  0.447  0.304
F  0.552  0.002  0.303
F  0.556  0.222  0.748
F  0.107  0.446  0.170
V  0.332  0.334  0.457
Tl  0.022  0.989  0.095
Hg  0.658  0.671  0.699


Calculated density: 5.599, 6.178 (Mg/m³)
E_tot: -4.482, -4.486 (eV per atom)